Here is a relaxed Rb2Tl6PdPt crystal from Alexandria. Energies are from GGA-PBE.

Geometry as CIF:
```
data_Rb2Tl6PdPt
_symmetry_space_group_name_H-M 'P 1'
_symmetry_Int_Tables_number 1
_cell_length_a 7.931
_cell_length_b 7.931
_cell_length_c 12.740
_cell_angle_alpha 71.86
_cell_angle_beta 71.86
_cell_angle_gamma 60.00
loop_
_symmetry_equiv_pos_as_xyz
'x,y,z'
loop_
_atom_site_label
_atom_site_fract_x
_atom_site_fract_y
_atom_site_fract_z
_atom_site_occupancy
Tl1 0.362 0.362 0.377 1
Tl2 0.638 0.638 0.623 1
Tl3 0.793 0.793 0.135 1
Tl4 0.793 0.279 0.135 1
Tl5 0.638 0.101 0.623 1
Tl6 0.899 0.362 0.377 1
Tl7 0.207 0.207 0.865 1
Tl8 0.721 0.207 0.865 1
Tl9 0.207 0.721 0.865 1
Tl10 0.101 0.638 0.623 1
Tl11 0.362 0.899 0.377 1
Tl12 0.279 0.793 0.135 1
Pt1 0.583 0.583 0.251 1
Pt2 0.417 0.417 0.749 1
Rb1 0.873 0.873 0.382 1
Rb2 0.127 0.127 0.618 1
Rb3 0.705 0.705 0.884 1
Rb4 0.295 0.295 0.116 1
Pd1 0.500 0.500 0.500 1
Pd2 0.000 0.000 0.000 1
```

Values from the calculation:
N(E_F) (states/eV per atom): 0.590
Space group: No. 166
Energy relative to the elements (meV/atom): -88
Total moment (μB/cell): 0.00
Crystal system: trigonal